VASP calculation (PBE) on a relaxed structure of FeSb4Cl.

## Properties
calculated total energy	-3.8822	eV per atom
formation energy (no corrections)	0.5843	eV/atom
M_tot	3.55	μB per cell
density	5.73	g cm⁻³

```
6
Lattice="0.000 4.377 4.377 4.377 0.000 4.377 4.377 4.377 0.000" Properties=species:S:1:pos:R:3 pbc="T T T"
Fe 0.000 0.000 0.000
Sb 5.423 3.330 3.330
Sb 3.330 5.423 3.330
Sb 3.330 3.330 5.423
Sb 5.423 5.423 5.423
Cl 2.188 2.188 2.188
```